# BeSbAu (PBE-GGA, relaxed)
# E_tot	-3.682	eV per atom
data_BeSbAu
_chemical_formula_sum 'Be2 Sb2 Au2'
_cell_length_a 3.9363
_cell_length_b 3.9363
_cell_length_c 7.0555
_cell_angle_alpha 90.00
_cell_angle_beta 90.00
_cell_angle_gamma 90.00
_space_group_name_H-M_alt 'P 4/n m m'
_space_group_IT_number 129
loop_
_space_group_symop_operation_xyz
'x,y,z'
'-x,-y,-z'
'-y+1/2,x,z'
'y+1/2,-x,-z'
'-x+1/2,-y+1/2,z'
'x+1/2,y+1/2,-z'
'y,-x+1/2,z'
'-y,x+1/2,-z'
'x+1/2,-y,-z'
'-x+1/2,y,z'
'-y,-x,-z'
'y,x,z'
'-x,y+1/2,-z'
'x,-y+1/2,z'
'y+1/2,x+1/2,-z'
'-y+1/2,-x+1/2,z'
loop_
_atom_site_label
_atom_site_type_symbol
_atom_site_fract_x
_atom_site_fract_y
_atom_site_fract_z
_atom_site_occupancy
Be1 Be 0.2500 0.7500 0.0000 1
Sb1 Sb 0.2500 0.2500 0.3571 1
Au1 Au 0.2500 0.2500 0.8020 1